{"formula": "PrTl2MoO8", "functional": "GGA+U", "state": "optimized geometry", "cell": [[5.0976, -0.0409, -0.0030], [-0.0120, 5.0927, -0.0054], [0.0043, 0.0076, 6.9379]], "species": ["Pr", "Tl", "Tl", "Mo", "O", "O", "O", "O", "O", "O", "O", "O"], "fractional_positions": [[0.0000, 0.0000, 0.5000], [0.5000, 0.5000, 0.7606], [0.5000, 0.5000, 0.2394], [0.0000, 0.0000, 0.0000], [0.1797, 0.8189, 0.2042], [0.7193, 0.7207, 0.0000], [0.8203, 0.1811, 0.2042], [0.8203, 0.1811, 0.7958], [0.2807, 0.2793, 0.0000], [0.1797, 0.8189, 0.7958], [0.6823, 0.6839, 0.5000], [0.3177, 0.3161, 0.5000]], "energy_ev_per_fu": -72.7, "volume_a3_per_cell": 180.11, "dos_at_fermi_per_ev_cell": 5.5, "density_g_cm3": 7.13}